1.
The following is a PBE-GGA calculation of Ca3GaAu4 after structural relaxation, from Alexandria via LeMat-Bulk.

Values from the calculation:
magnetic moment: 0.0 μB/cell

a b c (Å): 4.2182 6.7911 14.4304
angles (deg): 90.00 90.00 90.00
Space group Immm (No. 71)
Inequivalent atoms, fractional coordinates:
Ca 0.0000 0.0000 0.0000
Ca 0.0000 0.5000 0.1904
Ga 0.0000 0.0000 0.5000
Au 0.0000 0.2934 0.3811


2.
The following is a PBE-GGA calculation of ScTi2Cr after structural relaxation, from Alexandria via LeMat-Bulk.

Values from the calculation:
magnetic moment: 0.0 μB/cell

a b c (Å): 7.0995 7.0995 5.5730
angles (deg): 90.00 90.00 90.00
Space group I-42d (No. 122)
Inequivalent atoms, fractional coordinates:
Sc 0.0000 0.0000 0.0000
Ti 0.2048 0.2500 0.6250
Cr 0.0000 0.0000 0.5000


3.
The following is a PBE-GGA calculation of Sc3Tc after structural relaxation, from Alexandria via LeMat-Bulk.

Values from the calculation:
magnetic moment: 1.2 μB/cell

a b c (Å): 5.4442 5.4442 5.4442
angles (deg): 90.00 90.00 90.00
Space group Pm-3n (No. 223)
Inequivalent atoms, fractional coordinates:
Sc 0.0000 0.2500 0.5000
Tc 0.0000 0.0000 0.0000


4.
The following is a PBE-GGA calculation of PrSm4Tc after structural relaxation, from Alexandria via LeMat-Bulk.

Values from the calculation:
magnetic moment: 0.0 μB/cell

a b c (Å): 17.4448 7.7638 6.0154
angles (deg): 90.00 109.84 90.00
Space group C2/m (No. 12)
Inequivalent atoms, fractional coordinates:
Pr 0.1977 0.0000 0.2084
Sm 0.0000 0.2165 0.0000
Sm 0.1188 0.2363 0.6175
Sm 0.1711 0.5000 0.1658
Tc 0.0224 0.5000 0.7133


Number 1: DFT formation energy -636 meV/atom, mass density 7.86 g/cm³. Number 2: DFT formation energy 479 meV/atom, mass density 4.56 g/cm³. Number 3: DFT formation energy 120 meV/atom, mass density 4.79 g/cm³. Number 4: DFT formation energy 61 meV/atom, mass density 7.28 g/cm³.